[1]
First-principles (PBE) data for a geometry-optimized Pm8AlBi2 structure, as listed in Alexandria via LeMat-Bulk.

Computed properties:
Formation enthalpy at 0 K = -0.315 eV per atom
SG = C2/m, No. 12

Geometry as CIF:
```
data_Pm8AlBi2
_chemical_formula_sum 'Pm8 Al1 Bi2'
_space_group_name_H-M_alt 'P 1'
_space_group_IT_number 1
_space_group_name_Hall 'P 1'
_cell_length_a 5.298
_cell_length_b 6.861
_cell_length_c 10.299
_cell_angle_alpha 103.07
_cell_angle_beta 104.90
_cell_angle_gamma 90.00
loop_
_atom_site_label
_atom_site_fract_x
_atom_site_fract_y
_atom_site_fract_z
Pm1 0.411 0.519 0.821
Pm2 0.655 0.026 0.309
Pm3 0.782 0.666 0.564
Pm4 0.986 0.226 0.972
Pm5 0.218 0.334 0.436
Pm6 0.345 0.974 0.691
Pm7 0.589 0.481 0.179
Pm8 0.014 0.774 0.028
Al1 0.500 0.000 0.000
Bi1 0.822 0.228 0.645
Bi2 0.178 0.772 0.355
```



[2]
First-principles (PBE) data for a geometry-optimized PmAlBi structure, as listed in Alexandria via LeMat-Bulk.

Computed properties:
Distance to the lowest polymorph of the same formula = 0 meV per atom
Formation enthalpy at 0 K = -0.306 eV per atom
SG = P3m1, No. 156

Geometry as CIF:
```
data_PmAlBi
_chemical_formula_sum 'Pm1 Al1 Bi1'
_space_group_name_H-M_alt 'P 1'
_space_group_IT_number 1
_space_group_name_Hall 'P 1'
_cell_length_a 4.049
_cell_length_b 4.903
_cell_length_c 4.903
_cell_angle_alpha 120.00
_cell_angle_beta 90.00
_cell_angle_gamma 90.00
loop_
_atom_site_label
_atom_site_fract_x
_atom_site_fract_y
_atom_site_fract_z
Al1 0.190 0.333 0.667
Bi1 0.150 0.000 0.000
Pm1 0.660 0.667 0.333
```



[3]
First-principles (PBE) data for a geometry-optimized PmAl2Bi structure, as listed in Alexandria via LeMat-Bulk.

Computed properties:
Formation enthalpy at 0 K = -0.295 eV per atom
SG = P4/mmm, No. 123

Geometry as CIF:
```
data_PmAl2Bi
_chemical_formula_sum 'Pm1 Al2 Bi1'
_space_group_name_H-M_alt 'P 1'
_space_group_IT_number 1
_space_group_name_Hall 'P 1'
_cell_length_a 4.471
_cell_length_b 4.666
_cell_length_c 4.666
_cell_angle_alpha 90.00
_cell_angle_beta 90.00
_cell_angle_gamma 90.00
loop_
_atom_site_label
_atom_site_fract_x
_atom_site_fract_y
_atom_site_fract_z
Al1 0.000 0.000 0.500
Al2 0.000 0.500 0.000
Bi1 0.500 0.000 0.000
Pm1 0.500 0.500 0.500
```



[4]
First-principles (PBE) data for a geometry-optimized PmAlBi2 structure, as listed in Alexandria via LeMat-Bulk.

Computed properties:
Distance to the lowest polymorph of the same formula = 0 meV per atom
Formation enthalpy at 0 K = -0.321 eV per atom
SG = P4/mmm, No. 123

Geometry as CIF:
```
data_PmAlBi2
_chemical_formula_sum 'Pm1 Al1 Bi2'
_space_group_name_H-M_alt 'P 1'
_space_group_IT_number 1
_space_group_name_Hall 'P 1'
_cell_length_a 4.476
_cell_length_b 4.990
_cell_length_c 4.990
_cell_angle_alpha 90.00
_cell_angle_beta 90.00
_cell_angle_gamma 90.00
loop_
_atom_site_label
_atom_site_fract_x
_atom_site_fract_y
_atom_site_fract_z
Al1 0.500 0.500 0.500
Bi1 0.000 0.000 0.500
Bi2 0.000 0.500 0.000
Pm1 0.500 0.000 0.000
```



[5]
First-principles (PBE) data for a geometry-optimized Pm5Al2Bi structure, as listed in Alexandria via LeMat-Bulk.

Computed properties:
Formation enthalpy at 0 K = -0.436 eV per atom
SG = I4/mcm, No. 140

Geometry as CIF:
```
data_Pm5Al2Bi
_chemical_formula_sum 'Pm10 Al4 Bi2'
_space_group_name_H-M_alt 'P 1'
_space_group_IT_number 1
_space_group_name_Hall 'P 1'
_cell_length_a 8.516
_cell_length_b 8.516
_cell_length_c 8.906
_cell_angle_alpha 118.56
_cell_angle_beta 118.56
_cell_angle_gamma 90.00
loop_
_atom_site_label
_atom_site_fract_x
_atom_site_fract_y
_atom_site_fract_z
Pm1 0.514 0.696 0.710
Pm2 0.804 0.986 0.290
Pm3 0.000 0.000 0.000
Pm4 0.500 0.500 0.000
Pm5 0.196 0.014 0.710
Pm6 0.696 0.196 0.710
Pm7 0.014 0.514 0.710
Pm8 0.304 0.804 0.290
Pm9 0.986 0.486 0.290
Pm10 0.486 0.304 0.290
Al1 0.137 0.363 0.000
Al2 0.637 0.137 0.000
Al3 0.363 0.863 0.000
Al4 0.863 0.637 0.000
Bi1 0.750 0.750 0.500
Bi2 0.250 0.250 0.500
```



[6]
First-principles (PBE) data for a geometry-optimized PmAlBi structure, as listed in Alexandria via LeMat-Bulk.

Computed properties:
Distance to the lowest polymorph of the same formula = 85 meV per atom
Formation enthalpy at 0 K = -0.221 eV per atom
SG = I4mm, No. 107

Geometry as CIF:
```
data_PmAlBi
_chemical_formula_sum 'Pm1 Al1 Bi1'
_space_group_name_H-M_alt 'P 1'
_space_group_IT_number 1
_space_group_name_Hall 'P 1'
_cell_length_a 4.380
_cell_length_b 4.380
_cell_length_c 5.506
_cell_angle_alpha 113.44
_cell_angle_beta 113.44
_cell_angle_gamma 90.00
loop_
_atom_site_label
_atom_site_fract_x
_atom_site_fract_y
_atom_site_fract_z
Al1 0.964 0.964 0.928
Bi1 0.266 0.266 0.533
Pm1 0.620 0.620 0.240
```



[7]
First-principles (PBE) data for a geometry-optimized Pm7Al2Bi2 structure, as listed in Alexandria via LeMat-Bulk.

Computed properties:
Formation enthalpy at 0 K = -0.161 eV per atom
SG = Cmmm, No. 65

Geometry as CIF:
```
data_Pm7Al2Bi2
_chemical_formula_sum 'Pm7 Al2 Bi2'
_space_group_name_H-M_alt 'P 1'
_space_group_IT_number 1
_space_group_name_Hall 'P 1'
_cell_length_a 7.529
_cell_length_b 6.736
_cell_length_c 7.529
_cell_angle_alpha 90.00
_cell_angle_beta 99.29
_cell_angle_gamma 90.00
loop_
_atom_site_label
_atom_site_fract_x
_atom_site_fract_y
_atom_site_fract_z
Pm1 0.000 0.256 0.500
Pm2 0.500 0.744 0.000
Pm3 0.000 0.744 0.500
Pm4 0.500 0.256 0.000
Pm5 0.000 0.000 0.000
Pm6 0.500 0.755 0.500
Pm7 0.500 0.245 0.500
Al1 0.728 0.000 0.272
Al2 0.272 0.000 0.728
Bi1 0.804 0.500 0.804
Bi2 0.196 0.500 0.196
```



[8]
First-principles (PBE) data for a geometry-optimized Pm6AlBi2 structure, as listed in Alexandria via LeMat-Bulk.

Computed properties:
Formation enthalpy at 0 K = -0.503 eV per atom
SG = P-62m, No. 189

Geometry as CIF:
```
data_Pm6AlBi2
_chemical_formula_sum 'Pm6 Al1 Bi2'
_space_group_name_H-M_alt 'P 1'
_space_group_IT_number 1
_space_group_name_Hall 'P 1'
_cell_length_a 4.479
_cell_length_b 8.590
_cell_length_c 8.588
_cell_angle_alpha 120.01
_cell_angle_beta 90.00
_cell_angle_gamma 90.00
loop_
_atom_site_label
_atom_site_fract_x
_atom_site_fract_y
_atom_site_fract_z
Pm1 0.500 0.595 0.000
Pm2 0.500 0.405 0.405
Pm3 0.500 0.000 0.595
Pm4 0.000 0.245 0.000
Pm5 0.000 0.755 0.755
Pm6 0.000 0.000 0.245
Al1 0.500 0.000 0.000
Bi1 0.000 0.333 0.667
Bi2 0.000 0.667 0.333
```



[9]
First-principles (PBE) data for a geometry-optimized PmAlBi2 structure, as listed in Alexandria via LeMat-Bulk.

Computed properties:
Distance to the lowest polymorph of the same formula = 440 meV per atom
Formation enthalpy at 0 K = 0.119 eV per atom
SG = R-3m, No. 166

Geometry as CIF:
```
data_PmAlBi2
_chemical_formula_sum 'Pm1 Al1 Bi2'
_space_group_name_H-M_alt 'P 1'
_space_group_IT_number 1
_space_group_name_Hall 'P 1'
_cell_length_a 5.048
_cell_length_b 5.048
_cell_length_c 8.699
_cell_angle_alpha 73.13
_cell_angle_beta 73.13
_cell_angle_gamma 60.00
loop_
_atom_site_label
_atom_site_fract_x
_atom_site_fract_y
_atom_site_fract_z
Al1 0.000 0.000 0.000
Bi1 0.106 0.106 0.682
Bi2 0.894 0.894 0.318
Pm1 0.500 0.500 0.500
```



[10]
First-principles (PBE) data for a geometry-optimized PrAlBi2 structure, as listed in Alexandria via LeMat-Bulk.

Computed properties:
Formation enthalpy at 0 K = -0.339 eV per atom
SG = P4/mmm, No. 123

Geometry as CIF:
```
data_PrAlBi2
_chemical_formula_sum 'Pr1 Al1 Bi2'
_space_group_name_H-M_alt 'P 1'
_space_group_IT_number 1
_space_group_name_Hall 'P 1'
_cell_length_a 4.706
_cell_length_b 4.917
_cell_length_c 4.917
_cell_angle_alpha 90.00
_cell_angle_beta 90.00
_cell_angle_gamma 90.00
loop_
_atom_site_label
_atom_site_fract_x
_atom_site_fract_y
_atom_site_fract_z
Pr1 0.500 0.500 0.500
Bi1 0.000 0.000 0.500
Bi2 0.000 0.500 0.000
Al1 0.500 0.000 0.000
```



[11]
First-principles (PBE) data for a geometry-optimized Pr2AlBi structure, as listed in Alexandria via LeMat-Bulk.

Computed properties:
Distance to the lowest polymorph of the same formula = 0 meV per atom
Formation enthalpy at 0 K = -0.514 eV per atom
SG = P4/mmm, No. 123

Geometry as CIF:
```
data_Pr2AlBi
_chemical_formula_sum 'Pr2 Al1 Bi1'
_space_group_name_H-M_alt 'P 1'
_space_group_IT_number 1
_space_group_name_Hall 'P 1'
_cell_length_a 4.106
_cell_length_b 4.106
_cell_length_c 6.952
_cell_angle_alpha 90.00
_cell_angle_beta 90.00
_cell_angle_gamma 90.00
loop_
_atom_site_label
_atom_site_fract_x
_atom_site_fract_y
_atom_site_fract_z
Pr1 0.000 0.000 0.748
Pr2 0.000 0.000 0.252
Bi1 0.500 0.500 0.000
Al1 0.500 0.500 0.500
```



[12]
First-principles (PBE) data for a geometry-optimized PrAl2Bi structure, as listed in Alexandria via LeMat-Bulk.

Computed properties:
Formation enthalpy at 0 K = -0.295 eV per atom
SG = P4/mmm, No. 123

Geometry as CIF:
```
data_PrAl2Bi
_chemical_formula_sum 'Pr1 Al2 Bi1'
_space_group_name_H-M_alt 'P 1'
_space_group_IT_number 1
_space_group_name_Hall 'P 1'
_cell_length_a 4.507
_cell_length_b 4.706
_cell_length_c 4.706
_cell_angle_alpha 90.00
_cell_angle_beta 90.00
_cell_angle_gamma 90.00
loop_
_atom_site_label
_atom_site_fract_x
_atom_site_fract_y
_atom_site_fract_z
Pr1 0.500 0.500 0.500
Bi1 0.500 0.000 0.000
Al1 0.000 0.000 0.500
Al2 0.000 0.500 0.000
```